Record 1
## Tb12P3C5 (PBE-GGA)

Data for a geometry-optimized Tb12P3C5 structure.

Geometry as POSCAR:
```
Tb12P3C5
1.0
-7.668 7.668 7.668
7.668 -7.668 7.668
7.668 7.668 -7.668
Tb P C
48 12 20
Direct
0.028 0.208 0.122
0.028 0.320 0.907
0.086 0.708 0.680
0.086 0.878 0.407
0.093 0.622 0.414
0.093 0.972 0.680
0.122 0.028 0.208
0.122 0.593 0.914
0.180 0.208 0.586
0.180 0.472 0.593
0.208 0.122 0.028
0.208 0.586 0.180
0.292 0.320 0.914
0.292 0.472 0.378
0.320 0.907 0.028
0.320 0.914 0.292
0.378 0.292 0.472
0.378 0.586 0.907
0.407 0.086 0.878
0.407 0.820 0.528
0.414 0.093 0.622
0.414 0.820 0.792
0.472 0.378 0.292
0.472 0.593 0.180
0.528 0.407 0.820
0.528 0.622 0.708
0.586 0.180 0.208
0.586 0.907 0.378
0.593 0.180 0.472
0.593 0.914 0.122
0.622 0.414 0.093
0.622 0.708 0.528
0.680 0.086 0.708
0.680 0.093 0.972
0.708 0.528 0.622
0.708 0.680 0.086
0.792 0.414 0.820
0.792 0.878 0.972
0.820 0.528 0.407
0.820 0.792 0.414
0.878 0.407 0.086
0.878 0.972 0.792
0.907 0.028 0.320
0.907 0.378 0.586
0.914 0.122 0.593
0.914 0.292 0.320
0.972 0.680 0.093
0.972 0.792 0.878
0.125 0.250 0.375
0.125 0.375 0.750
0.250 0.375 0.125
0.250 0.875 0.625
0.375 0.125 0.250
0.375 0.750 0.125
0.625 0.250 0.875
0.625 0.875 0.750
0.750 0.125 0.375
0.750 0.625 0.875
0.875 0.625 0.250
0.875 0.750 0.625
0.000 0.000 0.000
0.000 0.000 0.500
0.000 0.500 0.000
0.000 0.500 0.500
0.125 0.750 0.875
0.125 0.875 0.250
0.250 0.125 0.875
0.250 0.625 0.375
0.375 0.250 0.625
0.375 0.625 0.750
0.500 0.000 0.000
0.500 0.000 0.500
0.500 0.500 0.000
0.500 0.500 0.500
0.625 0.375 0.250
0.625 0.750 0.375
0.750 0.375 0.625
0.750 0.875 0.125
0.875 0.125 0.750
0.875 0.250 0.125
```

## Properties
Total energy   -6.39 eV/atom
Density of states at the Fermi level   0.446 states/eV/atom
Formation energy   -0.494 eV per atom

Record 2
## TbTc2PC (PBE-GGA)

Data for a geometry-optimized TbTc2PC structure.

Geometry as POSCAR:
```
TbTc2PC
1.0
1.931 -5.498 0.000
1.931 5.498 0.000
0.000 0.000 7.154
Tb Tc P C
2 4 2 2
Direct
0.042 0.958 0.750
0.958 0.042 0.250
0.329 0.671 0.560
0.329 0.671 0.940
0.671 0.329 0.060
0.671 0.329 0.440
0.233 0.767 0.250
0.767 0.233 0.750
0.500 0.500 0.000
0.500 0.500 0.500
```

## Properties
Total energy   -8.63 eV/atom
Density of states at the Fermi level   0.688 states/eV/atom
Formation energy   -0.632 eV per atom